Density functional theory data (GGA-PBE) for a relaxed structure of Zn3AgF.

```
5
Lattice="4.932 0.000 0.000 0.000 4.932 0.000 0.000 0.000 4.932" Properties=species:S:1:pos:R:3 pbc="T T T"
Zn 2.466 0.000 0.000
Zn 0.000 2.466 0.000
Zn 0.000 0.000 2.466
Ag 0.000 0.000 0.000
F 2.466 2.466 2.466
```

Summary:
**E above lowest polymorph**: 96.4 meV/atom
**Calculated total energy**: -8.74 eV per formula unit
**Formation energy from raw total energies**: -0.039 eV/atom
**Fermi-level density of states**: 0.9 states/eV/cell
**SG**: No. 221